Density functional theory data (PBE) for crystalline Pm2SmThSe4 at its relaxed geometry.

```
8
Lattice="-3.8664 -0.5499 -1.4660 -1.7432 -3.7187 5.9923 -2.5615 4.6039 5.0286" Properties=species:S:1:pos:R:3 pbc="T T T"
Pm -2.5615 4.6039 5.0286
Pm -3.2139 2.0270 1.7813
Sm -2.1524 0.4426 5.5104
Th -5.3663 2.4696 7.2918
Se -3.2240 0.6479 8.2596
Se -4.9471 -0.3127 1.2953
Se -3.8847 -1.9003 5.0233
Se -4.2864 2.2355 4.5316
```

Calculated values
Space group = P2/m (10)
Crystal system = monoclinic
ΔE_f (raw) = -1350.0 kJ/mol of formula units
E = -6.196 eV/atom

=====

Density functional theory data (PBE) for crystalline PmSm2ThSe4 at its relaxed geometry.

```
8
Lattice="4.1619 0.0000 0.0000 0.0000 7.2662 -0.1588 0.0000 2.5435 6.8026" Properties=species:S:1:pos:R:3 pbc="T T T"
Pm 2.0810 6.1766 6.7232
Sm 0.0000 2.5435 6.8026
Sm 2.0810 1.2718 3.4013
Th 0.0000 4.9048 3.3219
Se 0.0001 7.3768 4.9813
Se 4.1619 2.4330 1.6625
Se 2.0810 6.1080 1.5637
Se 2.0810 3.7018 5.0801
```

Calculated values
Space group = P2/m (10)
Crystal system = monoclinic
ΔE_f (raw) = -1346.4 kJ/mol of formula units
E = -6.188 eV/atom

=====

Density functional theory data (PBE) for crystalline Pm3SmTh2Se6 at its relaxed geometry.

```
12
Lattice="-0.0904 -6.7285 -2.6754 6.0491 3.9596 -0.4102 0.0381 -1.5335 7.1322" Properties=species:S:1:pos:R:3 pbc="T T T"
Pm 5.0538 1.4271 2.7817
Pm 0.9430 -5.7293 1.2650
Pm 2.9984 -2.1511 2.0233
Sm 0.0000 0.0000 0.0000
Th 4.0055 0.4020 -1.1642
Th 1.9532 -3.1708 -1.9214
Se 3.4793 -4.9967 2.6450
Se 4.4875 -2.4642 -0.5358
Se 2.5175 0.6944 1.4016
Se 5.5161 -1.4508 3.3965
Se 1.5092 -1.8381 4.5824
Se 0.4807 -2.8514 0.6501
```

Calculated values
Space group = C2/m (12)
Crystal system = monoclinic
ΔE_f (raw) = -1993.7 kJ/mol of formula units
E = -6.282 eV/atom

=====

Density functional theory data (PBE) for crystalline PmSm2Th3Se6 at its relaxed geometry.

```
12
Lattice="-6.2026 -3.3933 -0.9401 4.9428 -0.3494 -5.1300 3.0968 -4.5541 4.9290" Properties=species:S:1:pos:R:3 pbc="T T T"
Pm 0.0000 0.0000 0.0000
Sm 1.2285 -1.3638 -3.7337
Sm -2.4884 -2.3789 -2.3364
Th 4.6434 -3.1311 -1.9709
Th -2.8065 -5.1657 0.8298
Th 0.9185 -4.1484 -0.5705
Se -0.4715 -6.7620 -0.1341
Se -0.1869 -3.9016 -3.3315
Se 2.3084 -1.5347 -1.0070
Se 3.2588 -5.7433 -1.5365
Se 2.0238 -4.3952 2.1904
Se -1.4218 -2.5535 0.3954
```

Calculated values
Space group = C2/m (12)
Crystal system = monoclinic
ΔE_f (raw) = -1931.0 kJ/mol of formula units
E = -6.447 eV/atom

=====

Density functional theory data (PBE) for crystalline PmSm3Th2Se6 at its relaxed geometry.

```
12
Lattice="7.2152 0.0116 0.0029 -3.5958 6.2554 0.0029 -1.2048 -2.0860 6.8888" Properties=species:S:1:pos:R:3 pbc="T T T"
Pm 0.0000 0.0000 0.0000
Sm -2.4200 4.1854 3.4473
Sm 4.8347 -0.0045 3.4473
Sm 1.2073 2.0905 3.4473
Th 0.0016 4.1777 0.0029
Th 3.6178 2.0892 0.0029
Se 3.6113 2.0962 5.1352
Se 2.4140 4.1798 1.7425
Se -1.1966 2.0847 1.7594
Se 0.0109 4.1756 5.1352
Se 0.0006 0.0011 5.1521
Se 2.4038 0.0054 1.7594
```

Calculated values
Space group = C2/m (12)
Crystal system = monoclinic
ΔE_f (raw) = -1986.9 kJ/mol of formula units
E = -6.271 eV/atom

=====

Density functional theory data (PBE) for crystalline PmSmTh2Se4 at its relaxed geometry.

```
8
Lattice="-2.5289 2.2571 -2.4923 -5.4679 -4.3190 1.6367 0.2504 5.5655 4.7863" Properties=species:S:1:pos:R:3 pbc="T T T"
Pm 0.0000 0.0000 0.0000
Sm -3.9984 -1.0309 -0.4278
Th -1.1392 3.9113 1.1470
Th -2.6088 0.6233 3.2115
Se -2.5672 1.4159 0.3360
Se -5.1792 2.0877 3.5948
Se -1.1922 3.1132 4.0291
Se -4.0254 -1.8667 2.3939
```

Calculated values
Space group = P2/m (10)
Crystal system = monoclinic
ΔE_f (raw) = -1290.2 kJ/mol of formula units
E = -6.453 eV/atom

=====

Density functional theory data (PBE) for crystalline Pm3SmTh4Se8 at its relaxed geometry.

```
16
Lattice="-1.1466 -7.9939 -1.8604 7.3987 -0.0913 -4.1677 -0.1562 2.4782 7.9061" Properties=species:S:1:pos:R:3 pbc="T T T"
Pm 3.1261 -4.0426 -3.0140
Pm 3.0479 -2.8035 0.9390
Pm 3.6212 1.1934 1.8692
Sm 3.6994 -0.0457 -2.0839
Th -0.5733 -3.9970 -0.9302
Th -0.6514 -2.7579 3.0229
Th 0.0000 0.0000 0.0000
Th -0.0781 1.2391 3.9530
Se 5.0700 0.4216 4.3170
Se 5.1483 -0.8207 0.3533
Se 1.5171 -0.7874 2.4482
Se 4.4952 -3.5859 3.3844
Se 1.6007 -2.0212 -1.5064
Se 4.5788 -4.8197 -0.5702
Se 0.9476 -4.7864 1.5247
Se 1.0258 -6.0287 -2.4390
```

Calculated values
Space group = R-3m (166)
Crystal system = trigonal
ΔE_f (raw) = -2595.4 kJ/mol of formula units
E = -6.464 eV/atom

=====

Density functional theory data (PBE) for crystalline Pm2Sm3ThSe6 at its relaxed geometry.

```
12
Lattice="4.1788 0.0000 0.0000 0.0000 8.3902 0.3052 -2.0894 -2.4106 8.7896" Properties=species:S:1:pos:R:3 pbc="T T T"
Pm 2.0894 4.0049 6.0920
Pm 0.0000 1.9747 3.0028
Sm 2.0894 4.1951 0.1526
Sm 2.0894 -0.2206 5.9256
Sm 0.0000 6.2002 3.1692
Th 2.0894 0.0000 0.0000
Se 0.0000 6.0996 6.1099
Se 2.0894 4.0964 3.1193
Se 2.0894 -0.1199 2.9849
Se 2.0894 -0.2792 8.8526
Se 0.0000 6.2588 0.2422
Se 0.0000 1.8832 5.9755
```

Calculated values
Space group = C2/m (12)
Crystal system = monoclinic
ΔE_f (raw) = -2048.3 kJ/mol of formula units
E = -6.101 eV/atom

=====

Density functional theory data (PBE) for crystalline Pm4SmTh3Se8 at its relaxed geometry.

```
16
Lattice="-7.7991 0.9000 2.7992 2.5625 -2.0185 7.7887 3.7179 6.2571 -4.0623" Properties=species:S:1:pos:R:3 pbc="T T T"
Pm -3.8995 0.4500 1.3996
Pm -2.0406 3.5785 -0.6316
Pm 0.0000 0.0000 0.0000
Pm 1.8589 3.1285 -2.0312
Sm 1.2812 -1.0092 3.8943
Th -2.6183 -0.5592 5.2939
Th -0.7594 2.5693 3.2628
Th 3.1402 2.1193 1.8632
Se -0.0122 -1.2797 6.5422
Se 1.8348 1.8286 4.5241
Se 0.5395 2.8386 0.5906
Se -3.9368 -0.8268 7.9508
Se 2.4181 5.9654 -1.4253
Se -2.0583 2.3000 5.9350
Se -3.3535 3.3100 2.0014
Se -1.5065 6.4183 -0.0167
```

Calculated values
Space group = R-3m (166)
Crystal system = trigonal
ΔE_f (raw) = -2649.7 kJ/mol of formula units
E = -6.332 eV/atom

=====

Density functional theory data (PBE) for crystalline PmSm4Th3Se8 at its relaxed geometry.

```
16
Lattice="-1.7466 6.7685 4.4708 -8.1718 -0.8009 -1.9801 3.9874 -6.3749 3.5089" Properties=species:S:1:pos:R:3 pbc="T T T"
Pm -4.0859 -0.4004 -0.9900
Sm -0.8733 3.3843 2.2354
Sm 1.1204 0.1968 3.9898
Sm 0.0000 0.0000 0.0000
Sm 1.9937 -3.1875 1.7544
Th -4.9592 2.9838 1.2454
Th -2.9655 -0.2037 2.9998
Th -2.0922 -3.5879 0.7644
Se -6.5885 1.0714 -0.3599
Se -4.6021 -2.1044 1.3880
Se -0.4472 -1.6779 2.3655
Se -7.4650 4.4679 1.8836
Se 1.5339 -4.8753 4.1160
Se -5.4839 1.2706 3.6342
Se -1.3290 1.6971 4.6116
Se 0.6574 -1.4787 6.3595
```

Calculated values
Space group = R-3m (166)
Crystal system = trigonal
ΔE_f (raw) = -2639.5 kJ/mol of formula units
E = -6.320 eV/atom

=====

Density functional theory data (PBE) for crystalline Pm3SmTh3Se8 at its relaxed geometry.

```
15
Lattice="-2.2108 5.5775 5.7989 -5.8008 -3.4090 -4.9359 3.7227 -4.6490 5.8907" Properties=species:S:1:pos:R:3 pbc="T T T"
Pm 0.0000 0.0000 0.0000
Pm -2.9004 -1.7045 -2.4679
Pm -4.0058 1.0843 0.4315
Sm 1.8614 -2.3245 2.9454
Th 0.7560 0.4642 5.8448
Th -2.1444 -1.2402 3.3769
Th -1.0390 -4.0290 0.4774
Se -2.5179 -1.4541 0.4387
Se -1.7709 -1.0263 6.3151
Se -3.5829 1.3439 3.3446
Se -0.7060 -3.8244 3.4092
Se -6.5349 -0.3880 0.8355
Se 2.2461 -2.0925 5.9183
Se -5.4472 -3.1323 -2.0177
Se 1.1583 0.6518 8.7715
```

Calculated values
Space group = R-3m (166)
Crystal system = trigonal
ΔE_f (raw) = -2530.3 kJ/mol of formula units
E = -6.355 eV/atom

=====

Density functional theory data (PBE) for crystalline PmSm3Tl4Se8 at its relaxed geometry.

```
16
Lattice="8.5579 0.0000 0.0000 0.0000 9.1919 0.4398 -4.2790 -4.2775 6.0529" Properties=species:S:1:pos:R:3 pbc="T T T"
Pm 0.0000 4.5959 0.2199
Sm 4.2790 4.5959 0.2199
Sm 2.1395 2.4572 3.2464
Sm -2.1395 2.4572 3.2464
Tl 4.2790 0.0000 0.0000
Tl 2.1395 -2.1388 3.0265
Tl 0.0000 0.0000 0.0000
Tl -2.1395 -2.1388 3.0265
Se -2.1323 2.3576 6.1964
Se 0.0000 4.4892 3.1802
Se 0.0000 0.4235 3.3217
Se 2.1323 2.3576 6.1964
Se 2.1466 2.5567 0.2963
Se 4.2790 4.4908 3.1710
Se 4.2790 0.4252 3.3126
Se 6.4113 2.5567 0.2963
```

Calculated values
Space group = R-3m (166)
Crystal system = trigonal
ΔE_f (raw) = -2137.4 kJ/mol of formula units
E = -4.900 eV/atom

=====

Density functional theory data (PBE) for crystalline PmSmTl2Se4 at its relaxed geometry.

```
8
Lattice="-0.1493 -0.0084 4.2822 -6.6077 -3.3686 -0.2370 5.7206 -5.7902 0.1881" Properties=species:S:1:pos:R:3 pbc="T T T"
Pm -3.3785 -1.6885 2.0226
Sm 0.0000 0.0000 0.0000
Tl 2.7857 -2.8993 2.2351
Tl -0.4436 -4.5794 -0.0244
Se -0.4331 -2.0057 2.1247
Se -0.6033 -7.1615 2.1086
Se 2.7882 -5.4618 0.0865
Se -3.6753 -3.6969 -0.1354
```

Calculated values
Space group = P2/m (10)
Crystal system = monoclinic
ΔE_f (raw) = -1068.6 kJ/mol of formula units
E = -4.902 eV/atom

=====

Density functional theory data (PBE) for crystalline Pm2SmTl3Se6 at its relaxed geometry.

```
12
Lattice="7.4266 -0.0002 0.0003 -3.7117 6.4326 0.0003 -1.2386 -2.1446 7.7587" Properties=species:S:1:pos:R:3 pbc="T T T"
Pm 0.0009 4.2884 0.0003
Pm 3.7140 2.1440 0.0003
Sm 0.0000 0.0000 0.0000
Tl -2.4738 4.2877 3.8796
Tl 4.9501 0.0000 3.8796
Tl 1.2381 2.1438 3.8796
Se 3.7086 2.1513 6.1364
Se 2.4813 4.2963 1.6248
Se -1.2323 2.1364 1.6229
Se 0.0100 4.2874 6.1364
Se -0.0050 -0.0086 6.1344
Se 2.4663 0.0003 1.6229
```

Calculated values
Space group = C2/m (12)
Crystal system = monoclinic
ΔE_f (raw) = -1603.1 kJ/mol of formula units
E = -4.903 eV/atom

=====

Density functional theory data (PBE) for crystalline Pm3SmTm3Se8 at its relaxed geometry.

```
15
Lattice="-4.5323 0.3724 6.7890 -0.1068 -6.7404 -4.6191 6.7077 1.8482 4.3767" Properties=species:S:1:pos:R:3 pbc="T T T"
Pm 0.0000 0.0000 0.0000
Pm -0.0534 -3.3702 -2.3095
Pm -2.3195 -3.1840 1.0849
Sm 3.3539 0.9241 2.1883
Tm 1.0877 1.1103 5.5828
Tm 1.0343 -2.2599 3.2733
Tm 3.3005 -2.4461 -0.1212
Se 0.5701 -2.8550 0.5372
Se 1.4986 -1.6648 6.0094
Se -1.7162 -2.5420 3.9113
Se 3.7849 -1.9779 2.6353
Se -1.6646 0.6756 6.1170
Se 3.7333 -5.1955 0.4296
Se 0.4992 0.4978 2.8758
Se 1.5695 -5.0177 3.6708
```

Calculated values
Space group = R-3m (166)
Crystal system = trigonal
ΔE_f (raw) = -2648.4 kJ/mol of formula units
E = -5.847 eV/atom

=====

Density functional theory data (PBE) for crystalline PmSm2Tm3Se6 at its relaxed geometry.

```
12
Lattice="4.0486 0.0000 0.0000 0.0000 8.3124 0.1629 -2.0243 -2.5358 8.6356" Properties=species:S:1:pos:R:3 pbc="T T T"
Pm 2.0243 0.0000 0.0000
Sm 2.0243 3.8571 5.8723
Sm 0.0000 1.9195 2.9262
Tm 2.0243 4.1562 0.0815
Tm 2.0243 -0.3045 5.7922
Tm 0.0000 6.0811 3.0063
Se 0.0000 6.0223 5.8380
Se 2.0243 4.0894 2.9200
Se 2.0243 -0.2457 2.9605
Se 2.0243 -0.3560 8.6208
Se 0.0000 6.1326 0.1777
Se 0.0000 1.6872 5.8785
```

Calculated values
Space group = C2/m (12)
Crystal system = monoclinic
ΔE_f (raw) = -2025.2 kJ/mol of formula units
E = -5.792 eV/atom

=====

Density functional theory data (PBE) for crystalline Pm2SmTmSe5 at its relaxed geometry.

```
9
Lattice="-0.6571 -2.2886 4.4894 3.5537 -3.4203 -1.2235 7.6347 6.3709 4.3653" Properties=species:S:1:pos:R:3 pbc="T T T"
Pm 3.9553 -0.7625 3.0664
Pm 6.5760 1.4244 4.5648
Sm 0.0000 0.0000 0.0000
Tm 3.8173 3.1854 2.1826
Se 5.5942 1.4753 1.5709
Se 3.4888 2.0411 4.4273
Se 5.7242 4.7767 3.2729
Se 1.9104 1.5942 1.0923
Se 1.4483 -2.8545 1.6329
```

Calculated values
Space group = P4/mmm (123)
Crystal system = tetragonal
ΔE_f (raw) = -1113.3 kJ/mol of formula units
E = -5.295 eV/atom

=====

Density functional theory data (PBE) for crystalline Pm4SmTmSe8 at its relaxed geometry.

```
14
Lattice="8.5838 0.0000 0.0000 4.2919 7.4338 0.0000 4.2919 2.4779 7.0054" Properties=species:S:1:pos:R:3 pbc="T T T"
Pm 8.5838 4.9559 0.8784
Pm 4.2919 4.9226 3.5140
Pm 6.4090 1.2556 3.5140
Pm 2.1748 1.2556 3.5140
Sm 4.2919 2.4779 6.9707
Tm 8.5838 4.9559 6.1279
Se 8.5838 7.5072 5.2401
Se 10.7934 3.6802 5.2401
Se 6.3742 3.6802 5.2401
Se 4.2919 2.4779 1.8192
Se 8.5838 2.3085 1.7989
Se 6.2911 6.2795 1.7989
Se 10.8765 6.2795 1.7989
Se 12.8757 7.4338 5.0851
```

Calculated values
Space group = R3m (160)
Crystal system = trigonal
ΔE_f (raw) = -2329.5 kJ/mol of formula units
E = -5.729 eV/atom

=====

Density functional theory data (PBE) for crystalline PmSm4TmSe8 at its relaxed geometry.

```
14
Lattice="-2.1786 -4.3858 7.0193 5.9429 -4.3914 4.3185 2.5645 2.7081 7.7059" Properties=species:S:1:pos:R:3 pbc="T T T"
Pm 2.5586 2.6830 7.6884
Sm 2.6730 -5.1483 8.0487
Sm 4.2291 -0.8249 6.0151
Sm 0.2144 -0.8221 7.3502
Sm 1.2913 1.3460 3.8803
Tm 3.6560 -0.9198 10.9958
Se 5.8942 -2.4097 10.7596
Se 1.7202 -2.4068 12.1476
Se 2.8399 -0.1527 8.5401
Se 1.5981 -1.4489 4.8086
Se 0.3607 -3.6121 8.2908
Se 4.6717 -3.6151 6.8572
Se 3.5153 -5.9432 10.5832
Se 4.7146 -4.6894 14.1869
```

Calculated values
Space group = R3m (160)
Crystal system = trigonal
ΔE_f (raw) = -2326.6 kJ/mol of formula units
E = -5.721 eV/atom

=====

Density functional theory data (PBE) for crystalline Pm4SmTm3Se8 at its relaxed geometry.

```
16
Lattice="-7.7895 -0.6761 -2.3964 1.6291 -7.5414 -3.1677 1.7475 1.5201 7.8443" Properties=species:S:1:pos:R:3 pbc="T T T"
Pm -3.8947 -0.3381 -1.1982
Pm -3.0210 0.4220 2.7240
Pm 0.0000 0.0000 0.0000
Pm 0.8738 0.7600 3.9222
Sm 0.8146 -3.7707 -1.5838
Tm -3.0802 -4.1088 -2.7820
Tm -2.2064 -3.3487 1.1401
Tm 1.6883 -3.0107 2.3383
Se 0.9864 -4.2239 4.8168
Se 0.1300 -4.9656 0.9786
Se -0.6635 -1.4151 2.5559
Se -2.8271 -4.5549 3.6436
Se -1.5857 -2.1426 -1.3633
Se -3.7494 -5.2823 -0.2756
Se -4.5428 -1.7319 1.3017
Se -5.3992 -2.4736 -2.5365
```

Calculated values
Space group = R-3m (166)
Crystal system = trigonal
ΔE_f (raw) = -2727.7 kJ/mol of formula units
E = -5.830 eV/atom